[1]
Density functional theory data (PBE) for crystalline Sr2CdRuN at its relaxed geometry.

Summary:
Calculated total energy   -4.7535 eV per atom
Uncorrected formation energy   -1.89 eV per formula unit
Magnetization   0.000 μB per atom
Calculated volume   23.30 A^3/atom
DOS at the Fermi energy   2.55 states/eV/cell

Lattice parameters (Å, degrees): 5.506 5.506 3.844 90.00 90.00 90.00
Sites, in units of the cell vectors:
Sr 0.000 0.500 0.000
Sr 0.500 0.000 0.000
Cd 0.000 0.000 0.500
Ru 0.500 0.500 0.500
N 0.500 0.500 0.000

[2]
Density functional theory data (PBE) for crystalline AlPbC at its relaxed geometry.

Summary:
Formation energy from the elements   38.3 kJ/mol of atoms
Calculated total energy   -5.1616 eV per atom
Magnetization   0.000 μB per atom
Calculated volume   20.76 A^3/atom
Polymorph energy (0 for the lowest one)   50 meV/atom
DOS at the Fermi energy   1.33 states/eV/cell

Lattice parameters (Å, degrees): 3.248 6.205 6.459 73.23 87.73 88.97
Sites, in units of the cell vectors:
Al 0.006 0.185 0.065
Al 0.994 0.815 0.935
Pb 0.179 0.223 0.560
Pb 0.821 0.777 0.440
C 0.497 0.610 0.978
C 0.503 0.390 0.022

[3]
Density functional theory data (PBE) for crystalline Cs2Tl3ReO6 at its relaxed geometry.

Summary:
Calculated total energy   -5.5199 eV per atom
Uncorrected formation energy   -15.24 eV per formula unit
Magnetization   0.000 μB per atom
Calculated volume   21.62 A^3/atom

Lattice parameters (Å, degrees): 7.337 7.337 6.173 98.65 98.65 124.40
Sites, in units of the cell vectors:
Cs 0.177 0.823 0.000
Cs 0.823 0.177 0.000
Tl 0.000 0.000 0.500
Tl 0.363 0.637 0.500
Tl 0.637 0.363 0.500
Re 0.500 0.500 0.000
O 0.221 0.427 0.821
O 0.340 0.340 0.218
O 0.427 0.221 0.821
O 0.573 0.779 0.179
O 0.660 0.660 0.782
O 0.779 0.573 0.179

[4]
Density functional theory data (PBE) for crystalline TbTmZnCu at its relaxed geometry.

Summary:
Formation energy from the elements   -28.5 kJ/mol of atoms
Calculated total energy   -3.9133 eV per atom
Magnetization   0.000 μB per atom
Calculated volume   21.46 A^3/atom
Polymorph energy (0 for the lowest one)   7 meV/atom
DOS at the Fermi energy   2.16 states/eV/cell

Lattice parameters (Å, degrees): 4.952 4.952 4.952 60.00 60.00 60.00
Sites, in units of the cell vectors:
Tb 0.000 0.000 0.000
Tm 0.500 0.500 0.500
Zn 0.750 0.750 0.750
Cu 0.250 0.250 0.250

[5]
Density functional theory data (PBE) for crystalline NaTl12Cd3 at its relaxed geometry.

Summary:
Formation energy from the elements   1.8 kJ/mol of atoms
Calculated total energy   -2.0103 eV per atom
Magnetization   0.000 μB per atom
Calculated volume   29.07 A^3/atom
DOS at the Fermi energy   8.50 states/eV/cell

Lattice parameters (Å, degrees): 4.807 4.807 20.128 90.00 90.00 90.00
Sites, in units of the cell vectors:
Na 0.000 0.000 0.000
Tl 0.000 0.500 0.126
Tl 0.000 0.500 0.374
Tl 0.000 0.500 0.626
Tl 0.000 0.500 0.874
Tl 0.500 0.000 0.126
Tl 0.500 0.000 0.374
Tl 0.500 0.000 0.626
Tl 0.500 0.000 0.874
Tl 0.500 0.500 0.000
Tl 0.500 0.500 0.249
Tl 0.500 0.500 0.500
Tl 0.500 0.500 0.751
Cd 0.000 0.000 0.247
Cd 0.000 0.000 0.500
Cd 0.000 0.000 0.753

[6]
Density functional theory data (PBE) for crystalline MgP4 at its relaxed geometry.

Summary:
Formation energy from the elements   128.1 kJ/mol of atoms
Calculated total energy   -3.3191 eV per atom
Magnetization   0.000 μB per atom
Calculated volume   21.06 A^3/atom
DOS at the Fermi energy   5.30 states/eV/cell

Lattice parameters (Å, degrees): 4.722 4.722 4.722 90.00 90.00 90.00
Sites, in units of the cell vectors:
Mg 0.000 0.000 0.000
P 0.000 0.000 0.500
P 0.000 0.500 0.000
P 0.500 0.000 0.000
P 0.500 0.500 0.500